# TaAlGa3, optimized geometry, DFT PBE
# - E above lowest polymorph: 0.6691 eV per atom
# - Energy of formation from the pure elements: 692 meV/atom
# - Raw total energy: -4.243 eV/atom
# - V: 131.7 Å³ per cell
data_TaAlGa3
_chemical_formula_sum 'Ta1 Al1 Ga3'
_cell_length_a 5.0873
_cell_length_b 5.0873
_cell_length_c 5.0873
_cell_angle_alpha 90.00
_cell_angle_beta 90.00
_cell_angle_gamma 90.00
_symmetry_space_group_name_H-M 'P m -3 m'
_symmetry_Int_Tables_number 221
_symmetry_space_group_name_Hall '-P 4 2 3'
loop_
_atom_site_label
_atom_site_type_symbol
_atom_site_fract_x
_atom_site_fract_y
_atom_site_fract_z
_atom_site_occupancy
Ta1 Ta 0.0000 0.0000 0.0000 1
Al1 Al 0.5000 0.5000 0.5000 1
Ga1 Ga 0.0000 0.0000 0.5000 1